No. 1
## Ca5P12Ir19 (GGA-PBEsol)

Data for crystalline Ca5P12Ir19 at its relaxed geometry.

POSCAR file:
```
Ca5P12Ir19
1.0
-2.805 -2.549 -1.077
7.075 -9.525 4.119
-8.099 5.627 7.777
Ir P Ca
19 12 5
direct
0.500 0.287 0.287 Ir
0.000 0.181 0.802 Ir
0.000 0.000 0.000 Ir
0.500 0.638 0.509 Ir
0.000 0.802 0.181 Ir
0.000 0.460 0.460 Ir
0.000 0.000 0.540 Ir
0.000 0.819 0.622 Ir
0.500 0.870 0.362 Ir
0.000 0.378 0.198 Ir
0.500 0.362 0.870 Ir
0.500 0.000 0.713 Ir
0.000 0.540 0.000 Ir
0.500 0.509 0.638 Ir
0.500 0.491 0.130 Ir
0.000 0.198 0.378 Ir
0.500 0.130 0.491 Ir
0.000 0.622 0.819 Ir
0.500 0.713 0.000 Ir
0.000 0.000 0.358 P
0.500 0.173 0.688 P
0.500 0.515 0.827 P
0.500 0.312 0.485 P
0.500 0.485 0.312 P
0.500 0.688 0.173 P
0.000 0.180 0.180 P
0.000 0.000 0.820 P
0.500 0.827 0.515 P
0.000 0.358 0.000 P
0.000 0.642 0.642 P
0.000 0.820 0.000 P
0.000 0.333 0.667 Ca
0.500 0.000 0.183 Ca
0.000 0.667 0.333 Ca
0.500 0.183 0.000 Ca
0.500 0.817 0.817 Ca
```

Values from the calculation:
The formation energy from the elements comes out at -0.75 eV/atom. As for the space-group type: P-62m, No. 189.



No. 2
## CaP2Ir (GGA-PBEsol)

Data for crystalline CaP2Ir at its relaxed geometry.

POSCAR file:
```
CaP2Ir
1.0
-0.530 0.926 -3.102
0.191 -3.129 -0.966
-6.228 -0.650 0.870
Ca P Ir
1 2 1
direct
0.000 0.000 0.480 Ca
0.500 0.500 0.214 P
0.000 0.000 0.966 P
0.500 0.500 0.840 Ir
```

Values from the calculation:
The formation energy from the elements comes out at -0.27 eV/atom. As for the space-group type: P4mm, No. 99.



No. 3
## CaP2IrS (GGA-PBEsol)

Data for crystalline CaP2IrS at its relaxed geometry.

POSCAR file:
```
CaP2IrS
1.0
-2.322 -3.743 -0.665
0.827 0.264 -4.369
4.422 -2.861 0.664
P Ca Ir S
2 1 1 1
direct
0.000 0.500 0.000 P
0.500 0.000 0.000 P
0.500 0.500 0.500 Ca
0.000 0.000 0.000 Ir
0.000 0.000 0.500 S
```

Values from the calculation:
As for the space-group type: P4/mmm, No. 123. The calculation puts the formation energy (no corrections) at -0.20 eV/atom.



No. 4
## CaIr2Pb (GGA-PBEsol)

Data for crystalline CaIr2Pb at its relaxed geometry.

POSCAR file:
```
CaIr2Pb
1.0
3.224 0.000 0.000
0.000 4.764 0.014
0.000 -0.638 4.721
Ir Ca Pb
2 1 1
direct
0.000 0.000 0.500 Ir
0.000 0.500 0.000 Ir
0.500 0.500 0.500 Ca
0.500 0.000 0.000 Pb
```

Values from the calculation:
The formation energy from the elements comes out at 0.13 eV/atom. As for the space-group type: Cmmm, No. 65.



Taking the records one at a time from the top gives total magnetic moment values of 0.0000 0.0000 0.0000 0.0000 μB per atom.
Taking the records one at a time from the top gives mass density values of 13.03 7.18 5.14 14.46 g cm⁻³.